P) Density functional theory data (PBE) for an optimized crystal structure of NbWS.

abc: 3.199 3.200 10.874
angles: 90.00 90.00 120.00
Atoms (fractional coordinates):
W: 0.611 0.222 0.000
Nb: 0.611 0.222 0.689
W: 0.278 0.556 0.500
S: 0.278 0.556 0.849
Nb: 0.611 0.222 0.311
S: 0.278 0.556 0.151


Q) Density functional theory data (PBE) for an optimized crystal structure of NbWS.

abc: 3.074 3.230 9.611
angles: 90.00 90.00 90.00
Atoms (fractional coordinates):
S: 0.000 0.000 0.672
W: 0.500 0.000 0.070
W: 0.500 0.500 0.570
Nb: 0.000 0.500 0.867
Nb: 0.000 0.000 0.367
S: 0.000 0.500 0.172


Which structure is the least stable? The one labeled P).


P) Density functional theory data (PBE) for an optimized crystal structure of NbWS.

abc: 6.670 3.185 10.214
angles: 90.00 115.53 90.00
Atoms (fractional coordinates):
S: 0.235 0.500 0.064
W: 0.467 0.500 0.505
W: 0.467 0.000 0.005
Nb: 0.636 0.000 0.771
Nb: 0.636 0.500 0.271
Nb: 0.849 0.500 0.048
W: 0.267 0.000 0.260
S: 0.911 0.500 0.760
Nb: 0.849 0.000 0.548
S: 0.911 0.000 0.260
S: 0.235 0.000 0.564
W: 0.267 0.500 0.760


Q) Density functional theory data (PBE) for an optimized crystal structure of NbWS.

abc: 6.321 3.265 11.186
angles: 90.00 124.07 90.00
Atoms (fractional coordinates):
Nb: 0.206 0.500 0.220
Nb: 0.715 0.000 0.401
S: 0.069 0.500 0.515
Nb: 0.206 0.000 0.720
S: 0.581 0.500 0.201
W: 0.774 0.500 0.635
W: 0.774 0.000 0.135
Nb: 0.715 0.500 0.901
S: 0.581 0.000 0.701
W: 0.268 0.500 0.941
W: 0.268 0.000 0.441
S: 0.069 0.000 0.015


Which structure is the least stable? The one labeled P).


P) Density functional theory data (PBE) for an optimized crystal structure of NbWS.

abc: 3.107 5.791 6.205
angles: 67.12 81.94 80.34
Atoms (fractional coordinates):
S: 0.361 0.787 0.405
S: 0.817 0.636 0.945
W: 0.419 0.414 0.772
Nb: 0.806 0.137 0.190
W: 0.945 0.460 0.377
Nb: 0.243 0.018 0.699


Q) Density functional theory data (PBE) for an optimized crystal structure of NbWS.

abc: 4.843 3.190 6.486
angles: 90.00 109.56 90.00
Atoms (fractional coordinates):
S: 0.841 0.000 0.005
W: 0.452 0.000 0.155
S: 0.629 0.500 0.454
Nb: 0.036 0.500 0.309
W: 0.449 0.000 0.663
Nb: 0.045 0.500 0.801


R) Density functional theory data (PBE) for an optimized crystal structure of NbWS.

abc: 6.221 3.260 5.196
angles: 90.00 114.48 90.00
Atoms (fractional coordinates):
W: 0.477 0.000 0.231
W: 0.477 0.500 0.731
S: 0.180 0.500 0.246
S: 0.180 0.000 0.746
Nb: 0.865 0.000 0.930
Nb: 0.865 0.500 0.430


Which structure is the least stable? The one labeled P).


P) Density functional theory data (PBE) for an optimized crystal structure of NbWS3.

abc: 4.659 4.659 4.659
angles: 90.00 90.00 90.00
Last column: magnetic moment on the atom in μB.
Atoms (fractional coordinates):
S: 0.500 0.000 0.000  -0.07
S: 0.000 0.500 0.000  -0.11
Nb: 0.500 0.500 0.500  2.56
W: 0.000 0.000 0.000  0.41
S: 0.000 0.000 0.500  -0.07


Q) Density functional theory data (PBE) for an optimized crystal structure of NbWS3.

abc: 4.769 4.769 4.769
angles: 90.00 90.00 90.00
Last column: magnetic moment on the atom in μB.
Atoms (fractional coordinates):
W: 0.500 0.500 0.500  3.22
S: 0.000 0.500 0.000  -0.11
S: 0.000 0.000 0.500  -0.07
Nb: 0.000 0.000 0.000  0.47
S: 0.500 0.000 0.000  -0.07


Which structure is the least stable? The one labeled Q).